DFT (PBEsol) results for a relaxed structure of AlRuC3.

Cell lengths 3.9367, 3.9367, 3.9367 Å; angles 90.00, 90.00, 90.00 degrees
Last column: nearest neighbours and their distance in Å.
Fractional coordinates of all 5 atoms:
Al1 0.0000 0.0000 0.0000  12 C 2.78
Ru1 0.5000 0.5000 0.5000  6 C 1.97
C1 0.0000 0.5000 0.5000  2 Ru 1.97
C2 0.5000 0.0000 0.5000  2 Ru 1.97
C3 0.5000 0.5000 0.0000  2 Ru 1.97

## Properties
Uncorrected energy   -0.2456 hartree per atom
Formation energy from the elements   1956 meV/atom

=====

DFT (PBEsol) results for a relaxed structure of Al2PPt.

Cell lengths 4.5688, 4.5688, 4.5688 Å; angles 127.72, 127.72, 77.08 degrees
Last column: nearest neighbours and their distance in Å.
Fractional coordinates of all 4 atoms:
Al1 0.2500 0.7500 0.5000  4 Pt 2.69, 4 P 2.69, 4 Al 2.85
Al2 0.7500 0.2500 0.5000  4 Pt 2.69, 4 P 2.69, 4 Al 2.85
P1 0.0000 0.0000 0.0000  8 Al 2.69, 4 Pt 2.85
Pt1 0.5000 0.5000 0.0000  8 Al 2.69, 4 P 2.85

## Properties
Uncorrected energy   -0.2047 hartree per atom
Formation energy from the elements   -336 meV/atom

=====

Number 1: volume 12.20 Å³/atom, M_tot 0.000 μB/atom. Number 2: volume 14.48 Å³/atom, M_tot 0.000 μB/atom.